Rb2UZn2Se4 PBE optimized geometry; total magnetic moment = 3.60 μB/f.u.; formation energy without anion corrections = -0.851 eV per atom
1.0
7.797 -2.130 0.000
7.797 2.130 0.000
-2.541 0.000 7.882
Rb U Zn Se
2 1 2 4
Direct
0.131 0.131 0.055
0.869 0.869 0.945
0.000 0.000 0.500
0.332 0.332 0.515
0.668 0.668 0.485
0.205 0.205 0.663
0.482 0.482 0.739
0.518 0.518 0.261
0.795 0.795 0.337


MnNbSn2 PBE optimized geometry; distance to the lowest polymorph of the same formula = 0 meV/atom; total magnetic moment = 2.89 μB/f.u.
1.0
4.482 0.000 0.000
0.000 4.482 0.000
0.000 0.000 3.827
Mn Nb Sn
1 1 2
Direct
0.000 0.000 0.000
0.500 0.500 0.000
0.000 0.500 0.500
0.500 0.000 0.500


NaAl2CuTe4 PBE optimized geometry; total magnetic moment = 0.00 μB/f.u.; formation energy without anion corrections = -0.441 eV per atom
1.0
0.000 4.362 6.561
4.360 0.000 6.561
4.360 4.362 0.000
Na Al Cu Te
1 2 1 4
Direct
0.000 0.000 0.000
0.250 0.250 0.250
0.750 0.750 0.750
0.499 0.499 0.501
0.140 0.596 0.860
0.404 0.859 0.141
0.596 0.140 0.404
0.859 0.404 0.596


K2ZrRe PBE optimized geometry; distance to the lowest polymorph of the same formula = 685 meV/atom; total magnetic moment = 0.69 μB/f.u.
1.0
2.857 0.000 0.000
0.000 5.626 0.000
0.000 0.000 6.290
K Zr Re
2 1 1
Direct
0.000 0.243 0.000
0.000 0.757 0.000
0.500 0.500 0.500
0.500 0.000 0.500


EuAlBi2 PBE optimized geometry; distance to the lowest polymorph of the same formula = 0 meV/atom; total magnetic moment = 6.96 μB/f.u.
1.0
4.882 0.000 0.000
0.000 4.882 0.000
0.000 0.000 4.780
Eu Al Bi
1 1 2
Direct
0.000 0.000 0.000
0.500 0.500 0.000
0.000 0.500 0.500
0.500 0.000 0.500


MgTaGe2Bi PBE optimized geometry; DFT total energy = -20.10 eV for the cell shown; total magnetic moment = 2.16 μB/f.u.
1.0
4.842 0.000 0.000
0.000 4.842 0.000
0.000 0.000 5.443
Mg Ta Ge Bi
1 1 2 1
Direct
0.000 0.000 0.000
0.500 0.500 0.500
0.000 0.500 0.000
0.500 0.000 0.000
0.000 0.000 0.500